1.
Computed, not measured: a relaxed IrAuS2 crystal at the PBE-GGA level of DFT.

Geometry as POSCAR:
```
IrAuS2
1.0
3.6048 0.0000 0.0000
0.0000 3.6048 0.0000
0.0000 0.0000 5.1118
Au S Ir
1 2 1
direct
0.5000 0.5000 0.0000
0.5000 0.5000 0.5000
0.0000 0.0000 0.0000
0.0000 0.0000 0.5000
```

Computed properties:
**Space-group type**: P4/mmm (123)

2.
Computed, not measured: a relaxed Th6Ir3AuS2 crystal at the PBE-GGA level of DFT.

Geometry as POSCAR:
```
Th6Ir3AuS2
1.0
4.0988 0.0000 0.0000
0.0000 8.5542 0.1989
-2.0494 -2.5760 8.8897
Th S Au Ir
6 2 1 3
direct
0.3377 0.4010 0.6754
0.6623 0.5990 0.3246
0.6742 0.0796 0.3484
0.3258 0.9204 0.6516
0.9974 0.2671 0.9947
0.0026 0.7329 0.0053
0.8280 0.6538 0.6559
0.1720 0.3462 0.3441
0.5000 0.0000 0.0000
0.8338 0.1626 0.6676
0.5000 0.5000 0.0000
0.1662 0.8374 0.3324
```

Computed properties:
**Space-group type**: C2/m (12)

Q: Which total DFT energy (no corrections) values were calculated for the entries above? A: -4.709; -8.068, in eV per atom.
Q: Which V values were calculated for the entries above? A: 66; 314, in Å³/f.u..
Q: Which raw formation energy values were calculated for the entries above? A: 0.39; -1.18, in eV/atom.